Computed, not measured: an optimized crystal structure of In4P at the GGA-PBE level of DFT.

- calculated formation energy (eV/atom) = 0.34
- offset from the most stable computed form (kJ/mol of atoms) = 11.6
- calculated total energy (eV/atom) = -2.93
- space group = Pm-3m, No. 221

a = 5.254 Å, b = 5.254 Å, c = 5.254 Å
α = 90.00°, β = 90.00°, γ = 90.00°
Sites, in units of the cell vectors:
P: 0.500 0.500 0.500
In: 0.000 0.000 0.000
In: 0.500 0.000 0.500
In: 0.000 0.500 0.500
In: 0.500 0.500 0.000